VASP calculation (PBE-GGA) on a relaxed KBe2GaF8 crystal.

Geometry as extended XYZ:
```
12
Lattice="-3.575 -2.935 1.449 1.163 -2.903 3.703 -2.602 5.043 5.398" Properties=species:S:1:pos:R:3 pbc="T T T"
K -1.301 2.522 2.699
Be -2.061 -2.653 4.370
Be -2.952 1.857 6.180
Ga 0.000 0.000 0.000
F -4.466 1.359 6.367
F -1.993 -4.229 4.249
F -2.656 -2.094 5.612
F -2.357 1.299 4.937
F -3.020 3.434 6.300
F -2.137 1.375 7.475
F -2.876 -2.170 3.074
F -0.547 -2.154 4.183
```

Crystal system: monoclinic
Formation energy without anion corrections in eV per atom: -3.0038

---

VASP calculation (PBE-GGA) on a relaxed LiBeGaF2 crystal.

Geometry as extended XYZ:
```
5
Lattice="-1.388 3.042 0.268 -6.530 -2.915 -0.724 -0.198 -0.383 3.326" Properties=species:S:1:pos:R:3 pbc="T T T"
Be 0.000 0.000 0.000
Li -3.265 -1.458 -0.362
Ga -4.057 -0.128 1.435
F -0.099 -0.191 1.663
F -0.694 1.521 0.134
```

Crystal system: tetragonal
Formation energy without anion corrections in eV per atom: -1.4255

---

VASP calculation (PBE-GGA) on a relaxed BeGaNF2 crystal.

Geometry as extended XYZ:
```
5
Lattice="-2.419 -1.643 1.077 0.745 -2.347 -1.910 3.172 -2.137 3.864" Properties=species:S:1:pos:R:3 pbc="T T T"
Be 0.000 0.000 0.000
N 1.586 -1.069 1.932
Ga 0.749 -3.064 1.516
F 0.372 -1.174 -0.955
F -1.209 -0.822 0.538
```

Crystal system: tetragonal
Formation energy without anion corrections in eV per atom: -1.3175

---

VASP calculation (PBE-GGA) on a relaxed BeGaN2F crystal.

Geometry as extended XYZ:
```
5
Lattice="3.596 0.000 0.000 0.000 3.596 0.000 0.000 0.000 3.452" Properties=species:S:1:pos:R:3 pbc="T T T"
Be 0.000 0.000 0.000
N 0.000 1.798 0.000
N 1.798 0.000 0.000
Ga 1.798 1.798 1.726
F 0.000 0.000 1.726
```

Crystal system: tetragonal
Formation energy without anion corrections in eV per atom: 0.1988